(1)
Below is a geometry-optimized CuPt2I structure, with properties calculated at the PBE level.

Lattice parameters (Å, degrees): 3.969 3.969 9.809 78.33 78.33 90.00
Element x y z (fractional)
Pt1 0.375 0.388 0.750
Pt2 0.138 0.625 0.250
Pt3 0.875 0.862 0.750
Pt4 0.612 0.125 0.250
I1 0.000 0.000 0.000
I2 0.750 0.250 0.500
Cu1 0.500 0.500 0.000
Cu2 0.250 0.750 0.500

Calculated values
The distance to the lowest polymorph of the same formula comes out at 0 meV per atom. Its space group is I-42d, No. 122. Its density of states at the Fermi level is 0.582 states/eV per atom. Its crystal system is tetragonal.

---

(2)
Below is a geometry-optimized CuPtI6 structure, with properties calculated at the PBE level.

Lattice parameters (Å, degrees): 7.234 7.241 7.276 60.08 60.12 59.98
Element x y z (fractional)
I1 0.760 0.106 0.745
I2 0.389 0.760 0.745
I3 0.240 0.894 0.255
I4 0.894 0.611 0.255
I5 0.611 0.240 0.255
I6 0.106 0.389 0.745
Pt1 0.000 0.000 0.000
Cu1 0.500 0.500 0.500

Calculated values
The distance to the lowest polymorph of the same formula comes out at 78 meV per atom. Its space group is P-1, No. 2. Its density of states at the Fermi level is 1.229 states/eV per atom. Its crystal system is triclinic.

---

(3)
Below is a geometry-optimized Cu3PtI structure, with properties calculated at the PBE level.

Lattice parameters (Å, degrees): 4.793 4.793 4.793 90.00 90.00 90.00
Element x y z (fractional)
Cu1 0.500 0.000 0.000
Cu2 0.000 0.500 0.000
Cu3 0.000 0.000 0.500
Pt1 0.000 0.000 0.000
I1 0.500 0.500 0.500

Calculated values
The distance to the lowest polymorph of the same formula comes out at 0 meV per atom. Its space group is Pm-3m, No. 221. Its density of states at the Fermi level is 0.249 states/eV per atom. Its crystal system is cubic.

---

(4)
Below is a geometry-optimized Cu3PtI9 structure, with properties calculated at the PBE level.

Lattice parameters (Å, degrees): 9.107 11.378 11.605 71.09 66.90 66.41
Element x y z (fractional)
I1 0.617 0.807 0.700
I2 0.125 0.502 0.531
I3 0.897 0.415 0.854
I4 0.684 0.680 0.055
I5 0.401 0.173 0.306
I6 0.066 0.569 0.171
I7 0.581 0.180 0.555
I8 0.702 0.450 0.567
I9 0.877 0.307 0.200
I10 0.410 0.564 0.303
I11 0.282 0.950 0.067
I12 0.194 0.069 0.671
I13 0.431 0.812 0.451
I14 0.120 0.673 0.806
I15 0.306 0.312 0.951
I16 0.842 0.002 0.031
I17 0.723 0.064 0.803
I18 0.834 0.915 0.354
Cu1 0.228 0.407 0.326
Cu2 0.532 0.313 0.739
Cu3 0.972 0.072 0.169
Cu4 0.039 0.907 0.826
Cu5 0.416 0.813 0.239
Cu6 0.787 0.572 0.669
Pt1 0.993 0.494 0.005
Pt2 0.508 0.994 0.505

Calculated values
Its space group is Cc, No. 9. Its crystal system is monoclinic.

---

(5)
Below is a geometry-optimized Cu5PtI12 structure, with properties calculated at the PBE level.

Lattice parameters (Å, degrees): 6.805 7.028 14.112 85.62 80.92 61.04
Element x y z (fractional)
Cu1 0.167 0.667 0.500
Cu2 0.833 0.333 0.500
Cu3 0.335 0.330 0.000
Cu4 0.665 0.670 0.000
Cu5 0.500 0.000 0.500
I1 0.047 0.314 0.890
I2 0.953 0.686 0.110
I3 0.184 0.335 0.385
I4 0.151 0.000 0.612
I5 0.361 0.686 0.890
I6 0.720 0.000 0.884
I7 0.481 0.335 0.615
I8 0.519 0.665 0.385
I9 0.280 0.000 0.116
I10 0.639 0.314 0.110
I11 0.849 0.000 0.388
I12 0.816 0.665 0.615
Pt1 0.000 0.000 0.000

Calculated values
Its space group is C2/m, No. 12. Its density of states at the Fermi level is 1.338 states/eV per atom. Its crystal system is monoclinic.

---

(6)
Below is a geometry-optimized CuPtI4 structure, with properties calculated at the PBE level.

Lattice parameters (Å, degrees): 4.063 7.424 7.181 114.84 90.00 105.88
Element x y z (fractional)
I1 0.130 0.260 0.471
I2 0.608 0.216 0.915
I3 0.392 0.784 0.085
I4 0.870 0.740 0.529
Pt1 0.500 0.000 0.500
Cu1 0.000 0.000 0.000

Calculated values
Its space group is C2/m, No. 12. Its density of states at the Fermi level is 0.929 states/eV per atom. Its crystal system is monoclinic.

---

What are the M_tot values for these records? In order: 0.000; 0.000; 0.000; 0.000; 0.021; 0.000 μB/f.u..
What are the E_form (uncorrected) values for these records? In order: 0.365; -0.010; 0.659; -0.083; -0.052; -0.038 eV/atom.